1.
# GaAuF2 (GGA-PBEsol, relaxed)
data_GaAuF2
_chemical_formula_sum 'Ga3 Au3 F6'
_symmetry_space_group_name_H-M 'R -3 m'
_symmetry_Int_Tables_number 166
_symmetry_space_group_name_Hall '-R 3 2"'
_cell_length_a 2.7997
_cell_length_b 2.7997
_cell_length_c 24.0498
_cell_angle_alpha 90.00
_cell_angle_beta 90.00
_cell_angle_gamma 120.00
loop_
_atom_site_label
_atom_site_type_symbol
_atom_site_fract_x
_atom_site_fract_y
_atom_site_fract_z
Ga1 Ga 0.0000 0.0000 0.0000
Au1 Au 0.0000 0.0000 0.5000
F1 F 0.0000 0.0000 0.0785
# * final energy: -3.6890 eV per atom
# * DOS(E_F): 4.7 states/eV/cell

---

2.
# Ga3AuF (GGA-PBEsol, relaxed)
data_Ga3AuF
_chemical_formula_sum 'Ga3 Au1 F1'
_symmetry_space_group_name_H-M 'P m -3 m'
_symmetry_Int_Tables_number 221
_symmetry_space_group_name_Hall '-P 4 2 3'
_cell_length_a 4.903
_cell_length_b 4.903
_cell_length_c 4.903
_cell_angle_alpha 90.00
_cell_angle_beta 90.00
_cell_angle_gamma 90.00
loop_
_atom_site_label
_atom_site_type_symbol
_atom_site_fract_x
_atom_site_fract_y
_atom_site_fract_z
Ga1 Ga 0.000 0.000 0.500
Au1 Au 0.000 0.000 0.000
F1 F 0.500 0.500 0.500
# * final energy: -3.4137 eV per atom
# * DOS(E_F): 1.8 states/eV/cell